Entry 1:
# NaAlAu2 (PBE-GGA, relaxed)
data_NaAlAu2
_chemical_formula_sum 'Na3 Al3 Au6'
_cell_length_a 4.4926
_cell_length_b 4.4926
_cell_length_c 15.2745
_cell_angle_alpha 90.00
_cell_angle_beta 90.00
_cell_angle_gamma 120.00
_symmetry_space_group_name_H-M 'R -3 m'
_symmetry_Int_Tables_number 166
_symmetry_space_group_name_Hall '-R 3 2"'
loop_
_atom_site_label
_atom_site_fract_x
_atom_site_fract_y
_atom_site_fract_z
Na1 0.0000 0.0000 0.0000
Al1 0.0000 0.0000 0.5000
Au1 0.0000 0.0000 0.2030
# E ... -3.21 eV/atom
# Formation energy ... -304.0 meV per atom

=====

Entry 2:
# Na3AlAu2 (PBE-GGA, relaxed)
data_Na3AlAu2
_chemical_formula_sum 'Na12 Al4 Au8'
_cell_length_a 6.4197
_cell_length_b 14.8765
_cell_length_c 6.1377
_cell_angle_alpha 90.00
_cell_angle_beta 90.00
_cell_angle_gamma 90.00
_symmetry_space_group_name_H-M 'I b a m'
_symmetry_Int_Tables_number 72
_symmetry_space_group_name_Hall '-I 2 2c'
loop_
_atom_site_label
_atom_site_fract_x
_atom_site_fract_y
_atom_site_fract_z
Na1 0.0000 0.0000 0.2500
Na2 0.2318 0.1831 0.0000
Al1 0.0000 0.5000 0.2500
Au1 0.1965 0.3900 0.0000
# E ... -2.65 eV/atom
# Formation energy ... -279.3 meV per atom

=====

Entry 3:
# NaAl4Au8 (PBE-GGA, relaxed)
data_NaAl4Au8
_chemical_formula_sum 'Na2 Al8 Au16'
_cell_length_a 9.1167
_cell_length_b 9.1167
_cell_length_c 5.6384
_cell_angle_alpha 90.00
_cell_angle_beta 90.00
_cell_angle_gamma 90.00
_symmetry_space_group_name_H-M 'I 4/m m m'
_symmetry_Int_Tables_number 139
_symmetry_space_group_name_Hall '-I 4 2'
loop_
_atom_site_label
_atom_site_fract_x
_atom_site_fract_y
_atom_site_fract_z
Na1 0.0000 0.0000 0.0000
Al1 0.2500 0.2500 0.2500
Au1 0.0000 0.2243 0.5000
Au2 0.0000 0.3201 0.0000
# E ... -3.61 eV/atom
# Formation energy ... -343.0 meV per atom

=====

Entry 4:
# NaAlAu2 (PBE-GGA, relaxed)
data_NaAlAu2
_chemical_formula_sum 'Na8 Al8 Au16'
_cell_length_a 15.5781
_cell_length_b 7.1045
_cell_length_c 5.7509
_cell_angle_alpha 90.00
_cell_angle_beta 90.00
_cell_angle_gamma 90.00
_symmetry_space_group_name_H-M 'P n m a'
_symmetry_Int_Tables_number 62
_symmetry_space_group_name_Hall '-P 2ac 2n'
loop_
_atom_site_label
_atom_site_fract_x
_atom_site_fract_y
_atom_site_fract_z
Na1 0.1141 0.2500 0.2453
Na2 0.1411 0.7500 0.4813
Al1 0.0656 0.7500 0.9793
Al2 0.1827 0.2500 0.7326
Au1 0.0348 0.0498 0.7346
Au2 0.2118 0.5527 0.9625
# E ... -3.27 eV/atom
# Formation energy ... -363.8 meV per atom

=====

Entry 5:
# Na2Al2Au (PBE-GGA, relaxed)
data_Na2Al2Au
_chemical_formula_sum 'Na4 Al4 Au2'
_cell_length_a 6.6522
_cell_length_b 6.6522
_cell_length_c 5.2231
_cell_angle_alpha 90.00
_cell_angle_beta 90.00
_cell_angle_gamma 90.00
_symmetry_space_group_name_H-M 'P 4/m b m'
_symmetry_Int_Tables_number 127
_symmetry_space_group_name_Hall '-P 4 2ab'
loop_
_atom_site_label
_atom_site_fract_x
_atom_site_fract_y
_atom_site_fract_z
Na1 0.1760 0.3240 0.0000
Al1 0.1395 0.6395 0.5000
Au1 0.0000 0.0000 0.5000
# E ... -2.80 eV/atom
# Formation energy ... -117.4 meV per atom

=====

Entry 6:
# Na2AlAu (PBE-GGA, relaxed)
data_Na2AlAu
_chemical_formula_sum 'Na8 Al4 Au4'
_cell_length_a 11.2625
_cell_length_b 4.6131
_cell_length_c 8.6438
_cell_angle_alpha 90.00
_cell_angle_beta 121.69
_cell_angle_gamma 90.00
_symmetry_space_group_name_H-M 'C 1 m 1'
_symmetry_Int_Tables_number 8
_symmetry_space_group_name_Hall 'C -2y'
loop_
_atom_site_label
_atom_site_fract_x
_atom_site_fract_y
_atom_site_fract_z
Na1 0.0000 0.0000 0.0000
Na2 0.9999 0.0000 0.4989
Na3 0.1230 0.5000 0.8460
Na4 0.3761 0.0000 0.1529
Al1 0.2433 0.5000 0.5890
Al2 0.2570 0.0000 0.4111
Au1 0.1906 0.5000 0.2561
Au2 0.3090 0.0000 0.7439
# E ... -2.64 eV/atom
# Formation energy ... -224.0 meV per atom

=====

Entry 7:
# Na3Al4Au4 (PBE-GGA, relaxed)
data_Na3Al4Au4
_chemical_formula_sum 'Na6 Al8 Au8'
_cell_length_a 4.3179
_cell_length_b 7.4120
_cell_length_c 13.8681
_cell_angle_alpha 90.00
_cell_angle_beta 90.00
_cell_angle_gamma 90.00
_symmetry_space_group_name_H-M 'I m m m'
_symmetry_Int_Tables_number 71
_symmetry_space_group_name_Hall '-I 2 2'
loop_
_atom_site_label
_atom_site_fract_x
_atom_site_fract_y
_atom_site_fract_z
Na1 0.0000 0.0000 0.0000
Na2 0.0000 0.5000 0.1125
Al1 0.0000 0.3055 0.3192
Au1 0.0000 0.0000 0.2208
Au2 0.0000 0.2125 0.5000
# E ... -3.30 eV/atom
# Formation energy ... -384.7 meV per atom

=====

Entry 8:
# Na3Al4Au4 (PBE-GGA, relaxed)
data_Na3Al4Au4
_chemical_formula_sum 'Na6 Al8 Au8'
_cell_length_a 7.9266
_cell_length_b 7.9266
_cell_length_c 7.9266
_cell_angle_alpha 90.00
_cell_angle_beta 90.00
_cell_angle_gamma 90.00
_symmetry_space_group_name_H-M 'I -4 3 m'
_symmetry_Int_Tables_number 217
_symmetry_space_group_name_Hall 'I -4 2 3'
loop_
_atom_site_label
_atom_site_fract_x
_atom_site_fract_y
_atom_site_fract_z
Na1 0.0000 0.0000 0.5000
Al1 0.1291 0.1291 0.8709
Au1 0.1890 0.1890 0.1890
# E ... -3.28 eV/atom
# Formation energy ... -362.9 meV per atom

=====

Entry 9:
# Na4AlAu3 (PBE-GGA, relaxed)
data_Na4AlAu3
_chemical_formula_sum 'Na16 Al4 Au12'
_cell_length_a 11.4243
_cell_length_b 11.4243
_cell_length_c 5.5428
_cell_angle_alpha 90.00
_cell_angle_beta 90.00
_cell_angle_gamma 90.00
_symmetry_space_group_name_H-M 'I 4/m c m'
_symmetry_Int_Tables_number 140
_symmetry_space_group_name_Hall '-I 4 2c'
loop_
_atom_site_label
_atom_site_fract_x
_atom_site_fract_y
_atom_site_fract_z
Na1 0.0909 0.2196 0.0000
Al1 0.0000 0.5000 0.2500
Au1 0.0000 0.0000 0.2500
Au2 0.1360 0.3640 0.5000
# E ... -2.69 eV/atom
# Formation energy ... -332.4 meV per atom

=====

Entry 10:
# Na3Al6Au5 (PBE-GGA, relaxed)
data_Na3Al6Au5
_chemical_formula_sum 'Na6 Al12 Au10'
_cell_length_a 4.3511
_cell_length_b 13.0357
_cell_length_c 9.4394
_cell_angle_alpha 90.00
_cell_angle_beta 90.00
_cell_angle_gamma 90.00
_symmetry_space_group_name_H-M 'P m m n'
_symmetry_Int_Tables_number 59
loop_
_symmetry_equiv_pos_as_xyz
'x,y,z'
'-x,-y,-z'
'-x+1/2,-y+1/2,z'
'x+1/2,y+1/2,-z'
'x+1/2,-y,-z'
'-x+1/2,y,z'
'-x,y+1/2,-z'
'x,-y+1/2,z'
loop_
_atom_site_label
_atom_site_fract_x
_atom_site_fract_y
_atom_site_fract_z
Na1 0.2500 0.0500 0.2477
Na2 0.2500 0.7500 0.2597
Al1 0.2500 0.0680 0.5852
Al2 0.2500 0.2500 0.0360
Al3 0.2500 0.2500 0.4047
Al4 0.2500 0.5936 0.9862
Au1 0.2500 0.0916 0.8642
Au2 0.2500 0.6316 0.5380
Au3 0.2500 0.7500 0.8067
# E ... -3.44 eV/atom
# Formation energy ... -386.9 meV per atom

=====

Entry 11:
# NaAlAu3 (PBE-GGA, relaxed)
data_NaAlAu3
_chemical_formula_sum 'Na1 Al1 Au3'
_cell_length_a 4.9442
_cell_length_b 4.9442
_cell_length_c 4.9442
_cell_angle_alpha 90.00
_cell_angle_beta 90.00
_cell_angle_gamma 90.00
_symmetry_space_group_name_H-M 'P m -3 m'
_symmetry_Int_Tables_number 221
_symmetry_space_group_name_Hall '-P 4 2 3'
loop_
_atom_site_label
_atom_site_fract_x
_atom_site_fract_y
_atom_site_fract_z
Na1 0.0000 0.0000 0.0000
Al1 0.5000 0.5000 0.5000
Au1 0.0000 0.5000 0.5000
# E ... -3.10 eV/atom
# Formation energy ... -119.3 meV per atom

=====

Entry 12:
# NaAlAu2 (PBE-GGA, relaxed)
data_NaAlAu2
_chemical_formula_sum 'Na1 Al1 Au2'
_cell_length_a 3.1899
_cell_length_b 3.1899
_cell_length_c 7.4575
_cell_angle_alpha 90.00
_cell_angle_beta 90.00
_cell_angle_gamma 90.00
_symmetry_space_group_name_H-M 'P 4/m m m'
_symmetry_Int_Tables_number 123
_symmetry_space_group_name_Hall '-P 4 2'
loop_
_atom_site_label
_atom_site_fract_x
_atom_site_fract_y
_atom_site_fract_z
Na1 0.0000 0.0000 0.0000
Al1 0.0000 0.0000 0.5000
Au1 0.5000 0.5000 0.2979
# E ... -3.25 eV/atom
# Formation energy ... -343.9 meV per atom